8
Lattice="4.323 0.000 0.000 0.015 8.810 0.000 2.148 2.204 8.889" Properties=species:S:1:pos:R:3 comment="RbGaTe2 PBE optimized geometry" m_tot_mub_per_atom=0.00 formation_energy_uncorrected_mev_per_atom=-641 pbc="T T T"
Rb 0.000 0.000 0.000
Rb 2.146 5.080 4.691
Ga 4.319 8.458 6.183
Ga 4.306 1.599 3.378
Te 2.157 7.566 7.537
Te 2.145 2.505 2.009
Te 4.310 2.345 5.936
Te 4.306 7.769 3.610


4
Lattice="0.000 3.650 3.650 3.650 0.000 3.650 3.650 3.650 0.000" Properties=species:S:1:pos:R:3 comment="TbYRhPb PBE optimized geometry" m_tot_mub_per_atom=0.00 formation_energy_kj_per_mol_atoms=-50.59 pbc="T T T"
Tb 0.000 0.000 0.000
Y 3.650 3.650 3.650
Rh 1.825 1.825 1.825
Pb 5.476 5.476 5.476